Entry 1:
VASP calculation (GGA-PBE) on crystalline BaCeTlPb at its relaxed geometry.

Properties
SG = F-43m (216)
Spin magnetization = 1.18 μB per cell
Total DFT energy (no corrections) = -15.03 eV per cell
Fermi-level density of states = 10.189 states/eV per cell

a b c (Å): 5.8217 5.8217 5.8217
angles (deg): 60.00 60.00 60.00
Element x y z (fractional)
Ba  0.0000  0.0000  0.0000
Ce  0.5000  0.5000  0.5000
Tl  0.2500  0.2500  0.2500
Pb  0.7500  0.7500  0.7500



Entry 2:
VASP calculation (GGA-PBE) on crystalline BaCePd2 at its relaxed geometry.

Properties
SG = R3m (160)
Spin magnetization = 0.66 μB per cell
Total DFT energy (no corrections) = -20.09 eV per cell
Fermi-level density of states = 7.110 states/eV per cell

a b c (Å): 8.0909 8.0909 8.0909
angles (deg): 30.13 30.13 30.13
Element x y z (fractional)
Ba  0.0000  0.0000  0.0000
Ce  0.1717  0.1717  0.1717
Pd  0.5727  0.5727  0.5727
Pd  0.7691  0.7691  0.7691



Entry 3:
VASP calculation (GGA-PBE) on crystalline BaCePd2 at its relaxed geometry.

Properties
SG = R-3m (166)
Spin magnetization = 0.68 μB per cell
Total DFT energy (no corrections) = -20.27 eV per cell
Fermi-level density of states = 6.904 states/eV per cell

a b c (Å): 7.7605 7.7605 7.7605
angles (deg): 32.21 32.21 32.21
Element x y z (fractional)
Ba  0.0000  0.0000  0.0000
Ce  0.5000  0.5000  0.5000
Pd  0.2350  0.2350  0.2350
Pd  0.7650  0.7650  0.7650



Entry 4:
VASP calculation (GGA-PBE) on crystalline BaCePd2 at its relaxed geometry.

Properties
SG = P4/mmm (123)
Spin magnetization = 0.93 μB per cell
Total DFT energy (no corrections) = -20.59 eV per cell
Fermi-level density of states = 7.431 states/eV per cell

a b c (Å): 3.7113 3.7113 7.6785
angles (deg): 90.00 90.00 90.00
Element x y z (fractional)
Ba  0.0000  0.0000  0.0000
Ce  0.0000  0.0000  0.5000
Pd  0.5000  0.5000  0.3054
Pd  0.5000  0.5000  0.6946



Entry 5:
VASP calculation (GGA-PBE) on crystalline Ba2CePdS5 at its relaxed geometry.

Properties
SG = Cmc2_1 (36)
Spin magnetization = 0.00 μB per cell
ΔE_f (raw) = -1.54 eV per atom
Total DFT energy (no corrections) = -98.94 eV per cell
Fermi-level density of states = 9.886 states/eV per cell

a b c (Å): 9.3098 9.3098 12.7323
angles (deg): 90.00 90.00 153.65
Element x y z (fractional)
Ba  0.1181  0.8819  0.5000
Ba  0.1222  0.8778  0.8584
Ba  0.8778  0.1222  0.3584
Ba  0.8819  0.1181  0.0000
Ce  0.1973  0.8027  0.1801
Ce  0.8027  0.1973  0.6801
Pd  0.4361  0.5639  0.5862
Pd  0.5639  0.4361  0.0862
S  0.0419  0.9581  0.1491
S  0.2990  0.7010  0.5392
S  0.3059  0.6941  0.8203
S  0.3441  0.6559  0.1803
S  0.4987  0.5013  0.9245
S  0.5013  0.4987  0.4245
S  0.6559  0.3441  0.6803
S  0.6941  0.3059  0.3203
S  0.7010  0.2990  0.0392
S  0.9581  0.0419  0.6491



Entry 6:
VASP calculation (GGA-PBE) on crystalline BaCePdS4 at its relaxed geometry.

Properties
SG = Cmcm (63)
Spin magnetization = 1.27 μB per cell
ΔE_f (raw) = -1.29 eV per atom
Total DFT energy (no corrections) = -77.12 eV per cell
Fermi-level density of states = 14.553 states/eV per cell

a b c (Å): 8.0483 8.0483 6.8566
angles (deg): 90.00 90.00 131.49
Element x y z (fractional)
Ba  0.1037  0.8963  0.7500
Ba  0.8963  0.1037  0.2500
Ce  0.3735  0.6265  0.7500
Ce  0.6265  0.3735  0.2500
Pd  0.2585  0.7415  0.2500
Pd  0.7415  0.2585  0.7500
S  0.0000  0.5000  0.0000
S  0.0000  0.5000  0.5000
S  0.0961  0.9039  0.2500
S  0.4381  0.5619  0.2500
S  0.5000  0.0000  0.0000
S  0.5000  0.0000  0.5000
S  0.5619  0.4381  0.7500
S  0.9039  0.0961  0.7500